The following is a PBE calculation of crystalline Ce8Te4As3Cl at its relaxed geometry, from the Alexandria database.

Properties
**Total moment**: 23.59 μB per cell
**D(E_F)**: 157.6 states/eV per cell
**Raw formation energy**: -1.418 eV/atom
**E_tot**: -6.157 eV per atom

Unit cell a=8.5949 b=8.5949 c=21.6854 alpha=90.00 beta=90.00 gamma=120.00
Space group R-3m (No. 166, hexagonal axes)
Symmetry-distinct sites (fractional):
Ce 0.0000 0.0000 0.2413 x6
Ce 0.0025 0.5012 0.7585 x18
Te 0.0000 0.0000 0.0000 x3
Te 0.0000 0.5000 0.0000 x9
As 0.0000 0.5000 0.5000 x9
Cl 0.0000 0.0000 0.5000 x3

***

The following is a PBE calculation of crystalline Hg2SbRu at its relaxed geometry, from the Alexandria database.

Properties
**Total moment**: 0.00 μB per cell
**D(E_F)**: 7.2 states/eV per cell
**Raw formation energy**: 0.292 eV/atom
**E_tot**: -3.209 eV per atom

Unit cell a=10.5528 b=10.5528 c=4.9423 alpha=90.00 beta=90.00 gamma=90.00
Space group I4_1/amd (No. 141, origin choice 2)
Symmetry-distinct sites (fractional):
Hg 0.0000 0.0000 0.0000 x8
Sb 0.0000 0.2500 0.3750 x4
Ru 0.0000 0.2500 0.8750 x4

***

The following is a PBE calculation of crystalline LiTi2Te2 at its relaxed geometry, from the Alexandria database.

Properties
**Total moment**: 0.00 μB per cell
**D(E_F)**: 12.5 states/eV per cell
**Raw formation energy**: -0.383 eV/atom
**E_tot**: -5.181 eV per atom
**Relative energy among the computed polymorphs**: 0 meV per atom

Unit cell a=7.6276 b=7.6276 c=3.5680 alpha=90.00 beta=90.00 gamma=90.00
Space group P4/mbm (No. 127)
Symmetry-distinct sites (fractional):
Li 0.0000 0.0000 0.0000 x2
Ti 0.1316 0.3684 0.0000 x4
Te 0.1602 0.6602 0.5000 x4

***

The following is a PBE calculation of crystalline Ti4NbV2 at its relaxed geometry, from the Alexandria database.

Properties
**Total moment**: 0.00 μB per cell
**D(E_F)**: 39.2 states/eV per cell
**Formation enthalpy at 0 K**: 0.105 eV per atom
**E_tot**: -8.450 eV per atom

Unit cell a=4.7036 b=4.7036 c=17.6426 alpha=90.00 beta=90.00 gamma=120.00
Space group R-3m (No. 166, hexagonal axes)
Symmetry-distinct sites (fractional):
Ti 0.0000 0.0000 0.0714 x6
Ti 0.0000 0.0000 0.2210 x6
Nb 0.0000 0.0000 0.5000 x3
V 0.0000 0.0000 0.3568 x6

***

The following is a PBE calculation of crystalline MgTcS2 at its relaxed geometry, from the Alexandria database.

Properties
**Total moment**: 0.00 μB per cell
**D(E_F)**: 11.2 states/eV per cell
**Raw formation energy**: -0.451 eV/atom
**E_tot**: -5.505 eV per atom

Unit cell a=5.5679 b=5.5679 c=10.6836 alpha=90.00 beta=90.00 gamma=90.00
Space group I-42d (No. 122)
Symmetry-distinct sites (fractional):
Mg 0.0000 0.0000 0.0000 x4
Tc 0.0000 0.0000 0.5000 x4
S 0.2229 0.2500 0.6250 x8

***

The following is a PBE calculation of crystalline DyMgZr at its relaxed geometry, from the Alexandria database.

Properties
**Total moment**: 0.00 μB per cell
**D(E_F)**: 9.5 states/eV per cell
**Formation enthalpy at 0 K**: 0.106 eV per atom
**E_tot**: -4.809 eV per atom
**Relative energy among the computed polymorphs**: 112 meV per atom

Unit cell a=3.3336 b=3.3336 c=32.8645 alpha=90.00 beta=90.00 gamma=120.00
Space group P-3m1 (No. 164)
Symmetry-distinct sites (fractional):
Dy 0.3333 0.6667 0.1365 x2
Dy 0.3333 0.6667 0.7767 x2
Mg 0.3333 0.6667 0.0384 x2
Mg 0.3333 0.6667 0.4608 x2
Zr 0.3333 0.6667 0.3084 x2
Zr 0.3333 0.6667 0.6175 x2

***

The following is a PBE calculation of crystalline AcGdCd at its relaxed geometry, from the Alexandria database.

Properties
**Total moment**: 7.77 μB per cell
**D(E_F)**: 3.5 states/eV per cell
**Formation enthalpy at 0 K**: -0.090 eV per atom
**E_tot**: -6.458 eV per atom
**Relative energy among the computed polymorphs**: 0 meV per atom

Unit cell a=5.4740 b=5.4740 c=3.9055 alpha=90.00 beta=90.00 gamma=120.00
Space group P3m1 (No. 156)
Symmetry-distinct sites (fractional):
Ac 0.0000 0.0000 0.0000 x1
Gd 0.6667 0.3333 0.5008 x1
Cd 0.3333 0.6667 0.4986 x1

***

The following is a PBE calculation of crystalline Tb2YCd at its relaxed geometry, from the Alexandria database.

Properties
**Total moment**: 0.00 μB per cell
**D(E_F)**: 12.8 states/eV per cell
**Formation enthalpy at 0 K**: -0.068 eV per atom
**E_tot**: -4.228 eV per atom
**Relative energy among the computed polymorphs**: 88 meV per atom

Unit cell a=3.5825 b=3.5825 c=32.5596 alpha=90.00 beta=90.00 gamma=120.00
Space group R-3m (No. 166, hexagonal axes)
Symmetry-distinct sites (fractional):
Tb 0.0000 0.0000 0.2446 x6
Y 0.0000 0.0000 0.0000 x3
Cd 0.0000 0.0000 0.5000 x3